# Ac2Al2Au3, relaxed, DFT PBE-GGA
data_Ac2Al2Au3
_chemical_formula_sum 'Ac4 Al4 Au6'
_space_group_name_H-M_alt 'C 1 2/m 1'
_space_group_IT_number 12
_cell_length_a 11.852
_cell_length_b 4.257
_cell_length_c 7.664
_cell_angle_alpha 90.00
_cell_angle_beta 118.94
_cell_angle_gamma 90.00
loop_
_space_group_symop_operation_xyz
'x,y,z'
'-x,-y,-z'
'-x,y,-z'
'x,-y,z'
'x+1/2,y+1/2,z'
'-x+1/2,-y+1/2,-z'
'-x+1/2,y+1/2,-z'
'x+1/2,-y+1/2,z'
loop_
_atom_site_label
_atom_site_type_symbol
_atom_site_fract_x
_atom_site_fract_y
_atom_site_fract_z
Ac1 Ac 0.132 0.000 0.261
Al1 Al 0.143 0.000 0.715
Au1 Au 0.000 0.500 0.500
Au2 Au 0.136 0.500 0.934
# Size of the total moment (μB/atom): 0.000
# Crystal system: monoclinic
# Formation energy from the elements (meV per atom): -633

# Nb3OsS4, relaxed, DFT PBE-GGA
data_Nb3OsS4
_chemical_formula_sum 'Nb6 Os2 S8'
_space_group_name_H-M_alt 'P m n 21'
_space_group_IT_number 31
_cell_length_a 6.512
_cell_length_b 6.697
_cell_length_c 6.489
_cell_angle_alpha 90.00
_cell_angle_beta 90.00
_cell_angle_gamma 90.00
loop_
_space_group_symop_operation_xyz
'x,y,z'
'-x+1/2,-y,z+1/2'
'-x,y,z'
'x+1/2,-y,z+1/2'
loop_
_atom_site_label
_atom_site_type_symbol
_atom_site_fract_x
_atom_site_fract_y
_atom_site_fract_z
Nb1 Nb 0.000 0.133 0.000
Nb2 Nb 0.246 0.257 0.659
Os1 Os 0.000 0.872 0.538
S1 S 0.000 0.180 0.385
S2 S 0.000 0.795 0.890
S3 S 0.239 0.604 0.507
# Size of the total moment (μB/atom): 0.000
# Crystal system: orthorhombic
# Formation energy (no corrections) (meV/atom): -573

# CrCoNi2, relaxed, DFT PBE-GGA
data_CrCoNi2
_chemical_formula_sum 'Cr1 Co1 Ni2'
_space_group_name_H-M_alt 'P 4 m m'
_space_group_IT_number 99
_cell_length_a 2.476
_cell_length_b 2.476
_cell_length_c 7.137
_cell_angle_alpha 90.00
_cell_angle_beta 90.00
_cell_angle_gamma 90.00
loop_
_space_group_symop_operation_xyz
'x,y,z'
'-y,x,z'
'-x,-y,z'
'y,-x,z'
'-x,y,z'
'y,x,z'
'x,-y,z'
'-y,-x,z'
loop_
_atom_site_label
_atom_site_type_symbol
_atom_site_fract_x
_atom_site_fract_y
_atom_site_fract_z
Cr1 Cr 0.000 0.000 0.000
Co1 Co 0.500 0.500 0.752
Ni1 Ni 0.000 0.000 0.506
Ni2 Ni 0.500 0.500 0.252
# Size of the total moment (μB/atom): 0.510
# Crystal system: tetragonal
# Formation energy from the elements (meV per atom): 41

# AlTlCu, relaxed, DFT PBE-GGA
data_AlTlCu
_chemical_formula_sum 'Al4 Tl4 Cu4'
_space_group_name_H-M_alt 'F -4 3 m'
_space_group_IT_number 216
_space_group_name_Hall 'F -4 2 3'
_cell_length_a 6.226
_cell_length_b 6.226
_cell_length_c 6.226
_cell_angle_alpha 90.00
_cell_angle_beta 90.00
_cell_angle_gamma 90.00
loop_
_atom_site_label
_atom_site_type_symbol
_atom_site_fract_x
_atom_site_fract_y
_atom_site_fract_z
Al1 Al 0.000 0.000 0.000
Tl1 Tl 0.000 0.000 0.500
Cu1 Cu 0.250 0.250 0.750
# Size of the total moment (μB/atom): 0.000
# Crystal system: cubic
# Formation energy from the elements (meV per atom): 180
# Energy relative to the lowest polymorph listed for this composition (meV/atom): 0

# Cs2TaInSe4, relaxed, DFT PBE-GGA
data_Cs2TaInSe4
_chemical_formula_sum 'Cs16 Ta8 In8 Se32'
_space_group_name_H-M_alt 'F d d d'
_space_group_IT_number 70
_cell_length_a 7.528
_cell_length_b 14.106
_cell_length_c 25.669
_cell_angle_alpha 90.00
_cell_angle_beta 90.00
_cell_angle_gamma 90.00
loop_
_space_group_symop_operation_xyz
'x,y,z'
'-x,-y,-z'
'-x+1/4,-y+1/4,z'
'x+1/4,y+1/4,-z'
'x,-y+1/4,-z+1/4'
'-x,y+1/4,z+1/4'
'-x+1/4,y,-z+1/4'
'x+1/4,-y,z+1/4'
'x,y+1/2,z+1/2'
'-x,-y+1/2,-z+1/2'
'-x+1/4,-y+3/4,z+1/2'
'x+1/4,y+3/4,-z+1/2'
'x,-y+3/4,-z+3/4'
'-x,y+3/4,z+3/4'
'-x+1/4,y+1/2,-z+3/4'
'x+1/4,-y+1/2,z+3/4'
'x+1/2,y,z+1/2'
'-x+1/2,-y,-z+1/2'
'-x+3/4,-y+1/4,z+1/2'
'x+3/4,y+1/4,-z+1/2'
'x+1/2,-y+1/4,-z+3/4'
'-x+1/2,y+1/4,z+3/4'
'-x+3/4,y,-z+3/4'
'x+3/4,-y,z+3/4'
'x+1/2,y+1/2,z'
'-x+1/2,-y+1/2,-z'
'-x+3/4,-y+3/4,z'
'x+3/4,y+3/4,-z'
'x+1/2,-y+3/4,-z+1/4'
'-x+1/2,y+3/4,z+1/4'
'-x+3/4,y+1/2,-z+1/4'
'x+3/4,-y+1/2,z+1/4'
loop_
_atom_site_label
_atom_site_type_symbol
_atom_site_fract_x
_atom_site_fract_y
_atom_site_fract_z
Cs1 Cs 0.125 0.125 0.305
Ta1 Ta 0.125 0.125 0.625
In1 In 0.125 0.125 0.125
Se1 Se 0.073 0.279 0.823
# Size of the total moment (μB/atom): 0.000
# Crystal system: orthorhombic
# Formation energy (no corrections) (meV/atom): -911

# Ca2Mg2In, relaxed, DFT PBE-GGA
data_Ca2Mg2In
_chemical_formula_sum 'Ca4 Mg4 In2'
_space_group_name_H-M_alt 'P 4/m b m'
_space_group_IT_number 127
_space_group_name_Hall '-P 4 2ab'
_cell_length_a 8.771
_cell_length_b 8.771
_cell_length_c 4.133
_cell_angle_alpha 90.00
_cell_angle_beta 90.00
_cell_angle_gamma 90.00
loop_
_atom_site_label
_atom_site_type_symbol
_atom_site_fract_x
_atom_site_fract_y
_atom_site_fract_z
Ca1 Ca 0.154 0.346 0.000
Mg1 Mg 0.142 0.642 0.500
In1 In 0.000 0.000 0.000
# Size of the total moment (μB/atom): 0.000
# Crystal system: tetragonal
# Formation energy from the elements (meV per atom): 53
# Energy relative to the lowest polymorph listed for this composition (meV/atom): 184

# TiPtC3, relaxed, DFT PBE-GGA
data_TiPtC3
_chemical_formula_sum 'Ti1 Pt1 C3'
_space_group_name_H-M_alt 'P m -3 m'
_space_group_IT_number 221
_space_group_name_Hall '-P 4 2 3'
_cell_length_a 3.984
_cell_length_b 3.984
_cell_length_c 3.984
_cell_angle_alpha 90.00
_cell_angle_beta 90.00
_cell_angle_gamma 90.00
loop_
_atom_site_label
_atom_site_type_symbol
_atom_site_fract_x
_atom_site_fract_y
_atom_site_fract_z
Ti1 Ti 0.000 0.000 0.000
Pt1 Pt 0.500 0.500 0.500
C1 C 0.000 0.500 0.500
# Size of the total moment (μB/atom): 0.000
# Crystal system: cubic
# Formation energy from the elements (meV per atom): 2168
# Energy relative to the lowest polymorph listed for this composition (meV/atom): 0

# GaNiOs, relaxed, DFT PBE-GGA
data_GaNiOs
_chemical_formula_sum 'Ga2 Ni2 Os2'
_space_group_name_H-M_alt 'P 1 m 1'
_space_group_IT_number 6
_cell_length_a 2.755
_cell_length_b 3.745
_cell_length_c 7.990
_cell_angle_alpha 90.00
_cell_angle_beta 99.78
_cell_angle_gamma 90.00
loop_
_space_group_symop_operation_xyz
'x,y,z'
'x,-y,z'
loop_
_atom_site_label
_atom_site_type_symbol
_atom_site_fract_x
_atom_site_fract_y
_atom_site_fract_z
Ga1 Ga 0.000 0.000 0.000
Ga2 Ga 0.329 0.000 0.669
Ni1 Ni 0.562 0.500 0.126
Ni2 Ni 0.893 0.500 0.801
Os1 Os 0.158 0.000 0.323
Os2 Os 0.730 0.500 0.468
# Size of the total moment (μB/atom): 0.000
# Crystal system: monoclinic
# Formation energy from the elements (meV per atom): -71

> size of the total moment of number 1 (Ac2Al2Au3)?

0.000 μB/atom

What did the seventh record say?
# TiPtC3, relaxed, DFT PBE-GGA
data_TiPtC3
_chemical_formula_sum 'Ti1 Pt1 C3'
_space_group_name_H-M_alt 'P m -3 m'
_space_group_IT_number 221
_space_group_name_Hall '-P 4 2 3'
_cell_length_a 3.984
_cell_length_b 3.984
_cell_length_c 3.984
_cell_angle_alpha 90.00
_cell_angle_beta 90.00
_cell_angle_gamma 90.00
loop_
_atom_site_label
_atom_site_type_symbol
_atom_site_fract_x
_atom_site_fract_y
_atom_site_fract_z
Ti1 Ti 0.000 0.000 0.000
Pt1 Pt 0.500 0.500 0.500
C1 C 0.000 0.500 0.500
# Size of the total moment (μB/atom): 0.000
# Crystal system: cubic
# Formation energy from the elements (meV per atom): 2168
# Energy relative to the lowest polymorph listed for this composition (meV/atom): 0

> Which formula does entry 2 have?

Nb3OsS4